The following is a DFT calculation (PBE) of a relaxed ScTcS2Cl crystal.

The structure belongs to space group P4/mmm (No. 123); the cell edges are 4.6520, 4.6520 and 4.7508 Å and the angles 90.00°, 90.00° and 90.00°. The inequivalent atoms are Sc at (0.0000, 0.0000, 0.0000), Tc at (0.5000, 0.5000, 0.5000), S at (0.0000, 0.5000, 0.5000) and Cl at (0.5000, 0.5000, 0.0000).

Its excess energy over the best structure of this formula in the dataset is 0.000 eV/atom. The magnetic moment is 1.75 Bohr magnetons per cell. As for the crystal system: tetragonal. The energy relative to the elements, uncorrected comes out at -0.226 eV per atom.